Record 1
VASP calculation (GGA-PBE) on GaCoMo2 after structural relaxation.

Structure (extended XYZ):
```
8
Lattice="-1.812 1.812 9.384 1.812 -1.812 9.384 1.812 1.812 -9.384" Properties=species:S:1:pos:R:3 pbc="T T T"
Ga 0.000 0.000 0.000
Ga 0.000 1.812 4.692
Co 1.812 0.000 4.692
Co 0.000 0.000 9.384
Mo 2.718 0.892 -2.346
Mo 0.892 0.906 2.346
Mo -0.906 0.920 7.038
Mo 0.920 0.906 11.729
```

- VASP energy (eV/atom) = -7.457
- space group = No. 122
- formation energy (eV/atom) = 0.4913



Record 2
VASP calculation (GGA-PBE) on PPbSe2 after structural relaxation.

Structure (extended XYZ):
```
4
Lattice="3.490 0.000 0.000 0.000 3.490 0.000 0.000 0.000 8.873" Properties=species:S:1:pos:R:3 pbc="T T T"
P 0.000 0.000 0.000
Pb 1.745 1.745 2.942
Se 0.000 0.000 4.508
Se 1.745 1.745 8.042
```

- VASP energy (eV/atom) = -3.920
- space group = No. 99
- E above lowest polymorph (meV per atom) = 230
- formation energy (no corrections) (eV/f.u.) = 0.4



Record 3
VASP calculation (GGA-PBE) on SmTiTe2 after structural relaxation.

Structure (extended XYZ):
```
4
Lattice="1.912 1.104 9.673 -1.912 1.104 9.673 0.000 -2.208 9.673" Properties=species:S:1:pos:R:3 pbc="T T T"
Sm 0.000 0.000 0.000
Ti 0.000 0.000 14.509
Te 0.000 0.000 3.126
Te 0.000 0.000 25.893
```

- VASP energy (eV/atom) = -5.248
- space group = No. 166
- formation energy (no corrections) (eV/f.u.) = -2.1



no.,V (Å³/f.u.),N(E_F) (states/eV/f.u.)
1,62,4.6
2,108,0.9
3,122,3.8